Record 1
# Sr2ZnIr

Crystalline Sr2ZnIr at its relaxed geometry (PBE, Alexandria via LeMat-Bulk).

Unit cell a=11.023 b=11.023 c=4.897 alpha=90.00 beta=90.00 gamma=90.00
Space group I-42d (No. 122)
Unique sites:
Sr 0.072 0.750 0.125 (multiplicity 8)
Zn 0.000 0.000 0.500 (multiplicity 4)
Ir 0.000 0.000 0.000 (multiplicity 4)

Summary:
Total magnetization ... 0.0 μB/f.u.
Formation energy ... -107 meV per atom
Energy ... -3.481 eV per atom

Record 2
# Sr2Zn3Ir

Crystalline Sr2Zn3Ir at its relaxed geometry (PBE, Alexandria via LeMat-Bulk).

Unit cell a=8.735 b=8.965 c=15.106 alpha=90.00 beta=90.00 gamma=90.00
Space group Fmmm (No. 69)
Unique sites:
Sr 0.242 0.000 0.000 (multiplicity 8)
Sr 0.250 0.250 0.250 (multiplicity 8)
Zn 0.000 0.000 0.327 (multiplicity 8)
Zn 0.000 0.248 0.086 (multiplicity 16)
Ir 0.000 0.000 0.161 (multiplicity 8)

Summary:
Offset from the most stable computed form ... 0 meV/atom
Total magnetization ... 0.0 μB/f.u.
Formation energy ... -245 meV per atom
Energy ... -2.919 eV per atom

Record 3
# SrZn3Ir

Crystalline SrZn3Ir at its relaxed geometry (PBE, Alexandria via LeMat-Bulk).

Unit cell a=7.038 b=12.941 c=4.751 alpha=90.00 beta=90.00 gamma=90.00
Space group Cmcm (No. 63)
Unique sites:
Sr 0.000 0.095 0.250 (multiplicity 4)
Zn 0.000 0.500 0.000 (multiplicity 4)
Zn 0.169 0.251 0.750 (multiplicity 8)
Ir 0.000 0.325 0.250 (multiplicity 4)

Summary:
Offset from the most stable computed form ... 287 meV/atom
Total magnetization ... 0.0 μB/f.u.
Formation energy ... -49 meV per atom
Energy ... -2.922 eV per atom

Record 4
# Sr2Zn3Ir2

Crystalline Sr2Zn3Ir2 at its relaxed geometry (PBE, Alexandria via LeMat-Bulk).

Unit cell a=11.041 b=4.291 c=7.336 alpha=90.00 beta=118.80 gamma=90.00
Space group C2/m (No. 12)
Unique sites:
Sr 0.140 0.000 0.270 (multiplicity 4)
Zn 0.000 0.500 0.500 (multiplicity 2)
Zn 0.163 0.500 0.927 (multiplicity 4)
Ir 0.127 0.000 0.696 (multiplicity 4)

Summary:
Total magnetization ... 0.0 μB/f.u.
Formation energy ... -316 meV per atom
Energy ... -3.874 eV per atom

Record 5
# SrZn3Ir

Crystalline SrZn3Ir at its relaxed geometry (PBE, Alexandria via LeMat-Bulk).

Unit cell a=6.7265 b=6.7265 c=16.4028 alpha=90.00 beta=90.00 gamma=120.00
Space group R-3m (No. 166, hexagonal axes)
Unique sites:
Sr 0.0000 0.0000 0.1079 (multiplicity 6)
Zn 0.0688 0.5344 0.0888 (multiplicity 18)
Ir 0.0000 0.0000 0.2952 (multiplicity 6)

Summary:
Offset from the most stable computed form ... 175 meV/atom
Total magnetization ... 0.0 μB/f.u.
Formation energy ... -161 meV per atom
Energy ... -3.034 eV per atom

Record 6
# SrZn3Ir3

Crystalline SrZn3Ir3 at its relaxed geometry (PBE, Alexandria via LeMat-Bulk).

Unit cell a=6.830 b=6.830 c=6.830 alpha=90.00 beta=90.00 gamma=90.00
Space group Pm-3n (No. 223)
Unique sites:
Sr 0.000 0.000 0.000 (multiplicity 2)
Zn 0.000 0.250 0.500 (multiplicity 6)
Ir 0.000 0.500 0.250 (multiplicity 6)

Summary:
Total magnetization ... 0.6 μB/f.u.
Formation energy ... 463 meV per atom
Energy ... -4.120 eV per atom

> total magnetization of number 3 (SrZn3Ir)?

0.0 μB/f.u.

Copy entry 6 word for word.
# SrZn3Ir3

Crystalline SrZn3Ir3 at its relaxed geometry (PBE, Alexandria via LeMat-Bulk).

Unit cell a=6.830 b=6.830 c=6.830 alpha=90.00 beta=90.00 gamma=90.00
Space group Pm-3n (No. 223)
Unique sites:
Sr 0.000 0.000 0.000 (multiplicity 2)
Zn 0.000 0.250 0.500 (multiplicity 6)
Ir 0.000 0.500 0.250 (multiplicity 6)

Summary:
Total magnetization ... 0.6 μB/f.u.
Formation energy ... 463 meV per atom
Energy ... -4.120 eV per atom